# 1
DFT (PBE) results for Ta2CrFe after structural relaxation.

abc: 4.9729 4.9729 2.7539
angles: 101.08 101.08 111.70
With the nearest neighbours (Å) after each atom.
Element x y z (fractional)
Ta 0.0000 0.5000 0.0000  2 Fe 2.60, 2 Cr 2.60, 4 Ta 2.75-2.79
Ta 0.5000 0.0000 0.0000  2 Fe 2.60, 2 Cr 2.60, 4 Ta 2.75-2.79
Cr 0.0000 0.0000 0.5000  4 Ta 2.60, 2 Cr 2.75, 2 Fe 2.79
Fe 0.5000 0.5000 0.5000  4 Ta 2.60, 2 Fe 2.75, 2 Cr 2.79

Output
ΔE to the lowest computed polymorph ... 240 meV/atom
Crystal system ... monoclinic
Total magnetic moment ... 1.06 μB/cell
N(E_F) ... 0.858 states/eV/atom

***

# 2
DFT (PBE) results for Ta2CrFe after structural relaxation.

abc: 3.1112 3.1112 6.1454
angles: 90.00 90.00 90.00
With the nearest neighbours (Å) after each atom.
Element x y z (fractional)
Ta 0.0000 0.0000 0.0000  4 Fe 2.65, 4 Ta 2.85, 1 Cr 2.87
Ta 0.5000 0.5000 0.2948  4 Cr 2.64, 4 Ta 2.85, 1 Fe 2.86
Cr 0.0000 0.0000 0.5332  4 Fe 2.60, 5 Ta 2.64-2.87
Fe 0.5000 0.5000 0.7600  4 Cr 2.60, 5 Ta 2.65-2.86

Output
ΔE to the lowest computed polymorph ... 204 meV/atom
Crystal system ... tetragonal
Total magnetic moment ... 1.17 μB/cell
N(E_F) ... 1.214 states/eV/atom

***

# 3
DFT (PBE) results for Ta2CrFe after structural relaxation.

abc: 3.0797 3.0797 6.1312
angles: 90.00 90.00 90.00
With the nearest neighbours (Å) after each atom.
Element x y z (fractional)
Ta 0.0000 0.0000 0.2492  4 Cr 2.66, 4 Fe 2.67
Ta 0.0000 0.0000 0.7508  4 Cr 2.66, 4 Fe 2.67
Cr 0.5000 0.5000 0.0000  8 Ta 2.66
Fe 0.5000 0.5000 0.5000  8 Ta 2.67

Output
ΔE to the lowest computed polymorph ... 1 meV/atom
Crystal system ... tetragonal
Total magnetic moment ... 0.34 μB/cell
N(E_F) ... 0.732 states/eV/atom

***

# 4
DFT (PBE) results for Ta2CrFe after structural relaxation.

abc: 5.5384 5.5384 5.5384
angles: 103.98 103.98 121.11
With the nearest neighbours (Å) after each atom.
Element x y z (fractional)
Ta 0.1109 0.6250 0.9859  2 Fe 2.44, 2 Cr 2.57, 2 Ta 2.73
Ta 0.3750 0.3609 0.4859  2 Fe 2.44, 2 Cr 2.57, 2 Ta 2.73
Ta 0.6391 0.1250 0.0141  2 Fe 2.44, 2 Cr 2.57, 2 Ta 2.73
Ta 0.8750 0.8891 0.5141  2 Fe 2.44, 2 Cr 2.57, 2 Ta 2.73
Cr 0.2500 0.7500 0.5000  4 Ta 2.57, 2 Fe 2.72
Cr 0.5000 0.5000 0.0000  4 Ta 2.57, 2 Fe 2.72
Fe 0.0000 0.0000 0.0000  4 Ta 2.44, 2 Cr 2.72
Fe 0.7500 0.2500 0.5000  4 Ta 2.44, 2 Cr 2.72

Output
ΔE to the lowest computed polymorph ... 756 meV/atom
Crystal system ... tetragonal
Total magnetic moment ... 4.27 μB/cell
N(E_F) ... 1.148 states/eV/atom

***

# 5
DFT (PBE) results for Ta2Cr2Fe after structural relaxation.

abc: 5.8887 5.8887 4.1784
angles: 90.00 90.00 90.00
With the nearest neighbours (Å) after each atom.
Element x y z (fractional)
Ta 0.1825 0.3175 0.0000  6 Cr 2.59-2.82
Ta 0.3175 0.8175 0.0000  6 Cr 2.59-2.82
Ta 0.6825 0.1825 0.0000  6 Cr 2.59-2.82
Ta 0.8175 0.6825 0.0000  6 Cr 2.59-2.82
Cr 0.1345 0.6345 0.5000  1 Cr 2.24, 2 Fe 2.29
Cr 0.3655 0.1345 0.5000  1 Cr 2.24, 2 Fe 2.29
Cr 0.6345 0.8655 0.5000  1 Cr 2.24, 2 Fe 2.29
Cr 0.8655 0.3655 0.5000  1 Cr 2.24, 2 Fe 2.29
Fe 0.0000 0.0000 0.5000  4 Cr 2.29
Fe 0.5000 0.5000 0.5000  4 Cr 2.29

Output
ΔE to the lowest computed polymorph ... 0 meV/atom
Crystal system ... tetragonal
Total magnetic moment ... 0.01 μB/cell
N(E_F) ... 1.498 states/eV/atom

***

# 6
DFT (PBE) results for Ta2CrFe after structural relaxation.

abc: 5.1585 5.1585 5.1585
angles: 144.84 130.97 61.75
With the nearest neighbours (Å) after each atom.
Element x y z (fractional)
Ta 0.0000 0.0000 0.0000  4 Fe 2.65, 2 Cr 2.67, 2 Ta 2.81
Ta 0.7360 0.2360 0.5000  4 Cr 2.65, 2 Fe 2.69, 2 Ta 2.81
Cr 0.2443 0.7443 0.5000  6 Ta 2.65-2.67, 2 Fe 2.67
Fe 0.4888 0.4888 0.0000  6 Ta 2.65-2.69, 2 Cr 2.67

Output
ΔE to the lowest computed polymorph ... 155 meV/atom
Crystal system ... orthorhombic
Total magnetic moment ... 0.88 μB/cell
N(E_F) ... 1.096 states/eV/atom

***

# 7
DFT (PBE) results for Ta2CrFe after structural relaxation.

abc: 3.1956 4.0791 4.5612
angles: 90.00 90.00 90.00
With the nearest neighbours (Å) after each atom.
Element x y z (fractional)
Ta 0.0000 0.0000 0.0000  4 Fe 2.59, 4 Ta 2.78
Ta 0.5000 0.0000 0.5000  4 Cr 2.59, 4 Ta 2.78
Cr 0.0000 0.5000 0.5000  4 Ta 2.59, 4 Fe 2.78
Fe 0.5000 0.5000 0.0000  4 Ta 2.59, 4 Cr 2.78

Output
ΔE to the lowest computed polymorph ... 245 meV/atom
Crystal system ... orthorhombic
Total magnetic moment ... 1.01 μB/cell
N(E_F) ... 1.001 states/eV/atom

***

# 8
DFT (PBE) results for TaCrFe after structural relaxation.

abc: 4.1408 4.1408 4.1408
angles: 60.00 60.00 60.00
With the nearest neighbours (Å) after each atom.
Element x y z (fractional)
Ta 0.0000 0.0000 0.0000  4 Fe 2.54, 4 Cr 2.54
Cr 0.2500 0.2500 0.2500  4 Ta 2.54
Fe 0.7500 0.7500 0.7500  4 Ta 2.54

Output
ΔE to the lowest computed polymorph ... 1061 meV/atom
Crystal system ... cubic
Total magnetic moment ... 3.75 μB/cell
N(E_F) ... 1.319 states/eV/atom